[1]
The following is a DFT calculation (GGA-PBE) of an optimized crystal structure of MgIr4Cl.

Properties
Space-group type   No. 216
Crystal system   cubic
Total DFT energy (no corrections)   -35.17 eV/f.u.
Formation energy from raw total energies   0.62 eV/atom

Unit cell a=5.2971 b=5.2971 c=5.2971 alpha=60.00 beta=60.00 gamma=60.00
Element x y z (fractional)
Mg 0.0000 0.0000 0.0000
Ir 0.1244 0.6252 0.6252
Ir 0.6252 0.1244 0.6252
Ir 0.6252 0.6252 0.1244
Ir 0.6252 0.6252 0.6252
Cl 0.2500 0.2500 0.2500


[2]
The following is a DFT calculation (GGA-PBE) of an optimized crystal structure of CrReHg2.

Properties
Space-group type   No. 10
Offset from the most stable computed form   0.429 eV/atom
Crystal system   monoclinic
Total DFT energy (no corrections)   -19.25 eV/f.u.

Unit cell a=2.8530 b=4.8512 c=5.2387 alpha=90.00 beta=95.11 gamma=90.00
Element x y z (fractional)
Cr 0.0000 0.0000 0.0000
Re 0.5000 0.0000 0.5000
Hg 0.2415 0.5000 0.7507
Hg 0.7585 0.5000 0.2493


[3]
The following is a DFT calculation (GGA-PBE) of an optimized crystal structure of KCuW2.

Properties
Space-group type   No. 139
Offset from the most stable computed form   0.892 eV/atom
Crystal system   tetragonal
Total DFT energy (no corrections)   -24.53 eV/f.u.

Unit cell a=5.9937 b=5.9937 c=5.9937 alpha=143.12 beta=143.12 gamma=53.14
Element x y z (fractional)
K 0.0000 0.0000 0.0000
Cu 0.5000 0.5000 0.0000
W 0.2500 0.7500 0.5000
W 0.7500 0.2500 0.5000


[4]
The following is a DFT calculation (GGA-PBE) of an optimized crystal structure of CaLaP2Cl.

Properties
Space-group type   No. 123
Offset from the most stable computed form   0.018 eV/atom
Crystal system   tetragonal
Total DFT energy (no corrections)   -22.72 eV/f.u.
Formation energy from raw total energies   -0.62 eV/atom

Unit cell a=5.4620 b=5.4620 c=5.4248 alpha=90.00 beta=90.00 gamma=90.00
Element x y z (fractional)
Ca 0.0000 0.0000 0.0000
La 0.5000 0.5000 0.5000
P 0.0000 0.5000 0.5000
P 0.5000 0.0000 0.5000
Cl 0.5000 0.5000 0.0000